The following is a PBE calculation of an optimized crystal structure of Tl3PbS, from the Alexandria database.

The structure in POSCAR format:
```
Tl3PbS
1.0
5.5950 0.0000 0.0000
0.0000 5.5950 0.0000
0.0000 0.0000 5.5950
Tl Pb S
3 1 1
Direct
0.0000 0.0000 0.5000
0.0000 0.5000 0.0000
0.5000 0.0000 0.0000
0.5000 0.5000 0.5000
0.0000 0.0000 0.0000
```

Calculated values
SG: Pm-3m (221)

The following is a PBE calculation of an optimized crystal structure of Ba5U2N6, from the Alexandria database.

The structure in POSCAR format:
```
Ba5U2N6
1.0
5.6193 -3.9622 0.0000
5.6193 3.9622 0.0000
-0.7590 0.0000 17.2632
Ba U N
10 4 12
Direct
0.0224 0.9776 0.7500
0.1801 0.7256 0.9768
0.2744 0.8199 0.5232
0.3469 0.3805 0.1539
0.3805 0.3469 0.6539
0.6195 0.6531 0.3461
0.6531 0.6195 0.8461
0.7256 0.1801 0.4768
0.8199 0.2744 0.0232
0.9776 0.0224 0.2500
0.1350 0.4016 0.4148
0.4016 0.1350 0.9148
0.5984 0.8650 0.0852
0.8650 0.5984 0.5852
0.0765 0.7110 0.6323
0.0947 0.3172 0.5341
0.2890 0.9235 0.8677
0.3172 0.0947 0.0341
0.3746 0.4928 0.4203
0.4928 0.3746 0.9203
0.5072 0.6254 0.0797
0.6254 0.5072 0.5797
0.6828 0.9053 0.9659
0.7110 0.0765 0.1323
0.9053 0.6828 0.4659
0.9235 0.2890 0.3677
```

Calculated values
SG: C2/c (15)

Result set for D(E_F): 9.7, 3.3 states/eV/f.u., one per record in the order listed.
Result set for ΔE_f (raw): 1.19, -10.09 eV per formula unit, one per record in the order listed.
Result set for magnetic moment: 0.0, 0.1 μB/cell, one per record in the order listed.